Entry from Alexandria: a relaxed structure of GdPtAu2 (GGA-PBE).

Output
ΔH_f (0 K): -0.637 eV/atom
Space group: Fm-3m, No. 225
DOS(E_F): 1.54 states/eV per cell
Calculated total energy: -0.53696 Ry/atom
Theoretical density: 15.5 g/cm3
M_tot: 7.04 μB/f.u.

abc: 4.837 4.837 4.837
angles: 60.00 60.00 60.00
Fractional positions:
Gd 0.000 0.000 0.000
Pt 0.500 0.500 0.500
Au 0.250 0.250 0.250
Au 0.750 0.750 0.750

Entry from Alexandria: a relaxed structure of CdReHg2 (GGA-PBE).

Output
ΔH_f (0 K): 0.636 eV/atom
Space group: Cmmm, No. 65
DOS(E_F): 1.96 states/eV per cell
Calculated total energy: -0.20987 Ry/atom
Theoretical density: 14.2 g/cm3
M_tot: 0.00 μB/f.u.

abc: 2.929 2.929 11.070
angles: 90.00 90.00 120.54
Fractional positions:
Cd 0.000 0.000 0.000
Re 0.000 0.000 0.500
Hg 0.500 0.500 0.271
Hg 0.500 0.500 0.729

Entry from Alexandria: a relaxed structure of BaCdHg2Bi (GGA-PBE).

Output
ΔH_f (0 K): -0.228 eV/atom
Space group: P4/mmm, No. 123
E above lowest polymorph: 174 meV/atom
DOS(E_F): 2.31 states/eV per cell
Calculated total energy: -0.12442 Ry/atom
Theoretical density: 7.9 g/cm3
M_tot: 0.00 μB/f.u.

abc: 5.519 5.519 5.965
angles: 90.00 90.00 90.00
Fractional positions:
Ba 0.000 0.000 0.000
Cd 0.500 0.500 0.500
Hg 0.000 0.500 0.500
Hg 0.500 0.000 0.500
Bi 0.500 0.500 0.000

Entry from Alexandria: a relaxed structure of Pm3Dy2Th4 (GGA-PBE).

Output
ΔH_f (0 K): 0.048 eV/atom
Space group: C2/m, No. 12
DOS(E_F): 13.67 states/eV per cell
Calculated total energy: -0.43043 Ry/atom
Theoretical density: 9.5 g/cm3
M_tot: 0.00 μB/f.u.

abc: 8.027 8.027 8.070
angles: 107.67 107.67 36.91
Fractional positions:
Pm 0.000 0.000 0.000
Pm 0.116 0.116 0.670
Pm 0.884 0.884 0.330
Dy 0.439 0.439 0.668
Dy 0.561 0.561 0.332
Th 0.223 0.223 0.332
Th 0.331 0.331 0.996
Th 0.669 0.669 0.004
Th 0.777 0.777 0.668

Entry from Alexandria: a relaxed structure of Ba2Os2O (GGA-PBE).

Output
Space group: P4/mbm, No. 127
E above lowest polymorph: 406 meV/atom
DOS(E_F): 3.98 states/eV per cell
E_form (uncorrected): 0.78 eV per atom
Calculated total energy: -0.40225 Ry/atom
Theoretical density: 8.8 g/cm3
M_tot: 1.91 μB/f.u.

abc: 7.245 7.245 4.805
angles: 90.00 90.00 90.00
Fractional positions:
Ba 0.187 0.313 0.000
Ba 0.313 0.813 0.000
Ba 0.687 0.187 0.000
Ba 0.813 0.687 0.000
Os 0.110 0.610 0.500
Os 0.390 0.110 0.500
Os 0.610 0.890 0.500
Os 0.890 0.390 0.500
O 0.000 0.000 0.500
O 0.500 0.500 0.500

Entry from Alexandria: a relaxed structure of YAlOsPd2 (GGA-PBE).

Output
ΔH_f (0 K): 1.717 eV/atom
Space group: P4/mmm, No. 123
DOS(E_F): 3.96 states/eV per cell
Calculated total energy: -0.34158 Ry/atom
Theoretical density: 7.0 g/cm3
M_tot: 2.35 μB/f.u.

abc: 4.838 4.838 5.279
angles: 90.00 90.00 90.00
Fractional positions:
Y 0.000 0.000 0.000
Al 0.000 0.000 0.500
Os 0.500 0.500 0.500
Pd 0.000 0.500 0.000
Pd 0.500 0.000 0.000